# 1
Here is ZnGeOs3 after structural relaxation from Alexandria. Energies are from GGA-PBEsol.

Summary:
Formation energy from the elements ... 2213 meV per atom

a b c (Å): 4.437 4.437 4.437
angles (deg): 90.00 90.00 90.00
Element x y z (fractional)
Zn 0.000 0.000 0.000
Ge 0.500 0.500 0.500
Os 0.000 0.000 0.500
Os 0.000 0.500 0.000
Os 0.500 0.000 0.000

=====

# 2
Here is Ga2PtRh2 after structural relaxation from Alexandria. Energies are from GGA-PBEsol.

Summary:
Formation energy from the elements ... -477 meV per atom

a b c (Å): 7.007 7.007 2.865
angles (deg): 90.00 90.00 90.00
Element x y z (fractional)
Ga 0.148 0.352 0.000
Ga 0.352 0.852 0.000
Ga 0.648 0.148 0.000
Ga 0.852 0.648 0.000
Pt 0.000 0.000 0.000
Pt 0.500 0.500 0.000
Rh 0.150 0.650 0.500
Rh 0.350 0.150 0.500
Rh 0.650 0.850 0.500
Rh 0.850 0.350 0.500

=====

# 3
Here is BaZr2IrOs after structural relaxation from Alexandria. Energies are from GGA-PBEsol.

Summary:
Formation energy from the elements ... 2685 meV per atom

a b c (Å): 5.059 5.059 4.795
angles (deg): 90.00 90.00 90.00
Element x y z (fractional)
Ba 0.000 0.000 0.000
Zr 0.000 0.500 0.000
Zr 0.500 0.000 0.000
Ir 0.000 0.000 0.500
Os 0.500 0.500 0.500

=====

# 4
Here is CdAuCl2 after structural relaxation from Alexandria. Energies are from GGA-PBEsol.

Summary:
Formation energy (no corrections) ... 0.7 kcal/mol of atoms

a b c (Å): 4.754 4.754 3.490
angles (deg): 90.00 90.00 90.00
Element x y z (fractional)
Cd 0.000 0.000 0.000
Au 0.500 0.500 0.000
Cl 0.000 0.500 0.500
Cl 0.500 0.000 0.500

=====

# 5
Here is Sr2LaPt after structural relaxation from Alexandria. Energies are from GGA-PBEsol.

Summary:
Formation energy from the elements ... -202 meV per atom

a b c (Å): 10.691 10.691 10.691
angles (deg): 21.65 21.65 21.65
Element x y z (fractional)
Sr 0.224 0.224 0.224
Sr 0.776 0.776 0.776
La 0.000 0.000 0.000
Pt 0.500 0.500 0.500

=====

# 6
Here is InTcCl2 after structural relaxation from Alexandria. Energies are from GGA-PBEsol.

Summary:
Formation energy (no corrections) ... -0.7 kcal/mol of atoms

a b c (Å): 9.338 9.338 9.338
angles (deg): 20.04 20.04 20.04
Element x y z (fractional)
In 0.000 0.000 0.000
Tc 0.500 0.500 0.500
Cl 0.222 0.222 0.222
Cl 0.778 0.778 0.778

=====

Number 1 is which compound?
ZnGeOs3